The following is a DFT calculation (PBE) of BC2 after structural relaxation.

a = 4.439 Å, b = 4.439 Å, c = 7.977 Å
α = 117.61°, β = 117.61°, γ = 33.43°
Fractional positions:
1 C 0.011 0.011 0.992
2 C 0.159 0.159 0.697
3 C 0.326 0.326 0.672
4 C 0.852 0.852 0.028
5 B 0.656 0.656 0.320
6 B 0.670 0.670 0.840
7 C 0.820 0.820 0.554
8 B 0.483 0.483 0.401
9 B 0.358 0.358 0.154
10 C 0.180 0.180 0.200
11 C 0.986 0.986 0.520
12 C 0.499 0.499 0.871

Summary:
Uncorrected energy: -8.040 eV per atom
Space group: Cm
Energy above the lowest structure with this stoichiometry: 95 meV per atom